[1]
SiRh2Au: optimized geometry, GGA-PBE.

```
SiRh2Au
1.0
8.6389 -0.0022 -0.0013
8.1663 2.8180 -0.0013
8.1663 1.3683 2.4635
Rh Si Au
2 1 1
Direct
0.9967 0.9967 0.9967 Rh
0.2414 0.2414 0.2414 Rh
0.5057 0.5057 0.5057 Si
0.7562 0.7562 0.7562 Au
```

Computed properties:
**Formation energy without anion corrections**: -0.036 eV/atom



[2]
SiRhAu2: optimized geometry, GGA-PBE.

```
SiRhAu2
1.0
6.4184 0.0241 -0.0351
5.7489 2.8544 -0.0351
1.1880 0.2810 3.6844
Rh Au Si
1 2 1
Direct
0.7500 0.7500 0.7500 Rh
0.5664 0.5664 0.4340 Au
0.9336 0.9336 0.0660 Au
0.2500 0.2500 0.2500 Si
```

Computed properties:
**Formation energy without anion corrections**: -0.184 eV/atom



[3]
SiRh2Au: optimized geometry, GGA-PBE.

```
SiRh2Au
1.0
-2.5458 -1.2456 -0.5619
1.0831 -1.1150 -2.4355
2.0111 -5.6889 3.4989
Au Rh Si
1 2 1
Direct
0.5000 0.5000 0.7500 Au
0.0000 0.0000 0.4503 Rh
0.0000 0.0000 0.0497 Rh
0.5000 0.5000 0.2500 Si
```

Computed properties:
**Formation energy without anion corrections**: -0.486 eV/atom



[4]
SiRh2Au4: optimized geometry, GGA-PBE.

```
SiRh2Au4
1.0
-1.4494 4.4235 0.7670
-4.0838 -0.9643 -2.1562
-5.2963 -0.0694 4.9010
Au Si Rh
4 1 2
Direct
0.1874 0.1874 0.6252 Au
0.0000 0.5000 0.0000 Au
0.5000 0.0000 0.0000 Au
0.8126 0.8126 0.3748 Au
0.0000 0.0000 0.0000 Si
0.6098 0.6098 0.7804 Rh
0.3902 0.3902 0.2196 Rh
```

Computed properties:
**Formation energy without anion corrections**: 0.569 eV/atom



[5]
SiRh2Au: optimized geometry, GGA-PBE.

```
SiRh2Au
1.0
-2.4833 0.3659 1.5479
1.3317 -1.0901 2.3949
2.0154 6.2956 1.7450
Rh Au Si
2 1 1
Direct
0.5000 0.5000 0.2905 Rh
0.0000 0.0000 0.0109 Rh
0.5000 0.5000 0.7295 Au
0.0000 0.0000 0.4692 Si
```

Computed properties:
**Formation energy without anion corrections**: -0.069 eV/atom



[6]
SiRhAu2: optimized geometry, GGA-PBE.

```
SiRhAu2
1.0
-3.4023 3.6836 1.2881
-2.0497 -0.4610 4.7319
4.4970 0.4723 -2.5216
Si Au Rh
1 2 1
Direct
0.7355 0.2355 0.5000 Si
0.9625 0.9625 0.0000 Au
0.2539 0.7539 0.5000 Au
0.5482 0.5482 0.0000 Rh
```

Computed properties:
**Formation energy without anion corrections**: -0.118 eV/atom



| no. | raw total energy (eV/atom) |
| --- | --- |
| 1 | -5.887 |
| 2 | -5.016 |
| 3 | -6.337 |
| 4 | -4.179 |
| 5 | -5.920 |
| 6 | -4.950 |